# 1
The following is a PBE calculation of a geometry-optimized Tb4SmHo structure, from the Alexandria database.

extended XYZ file:
```
6
Lattice="5.032 0.000 0.000 -2.507 5.644 0.000 -0.002 -2.262 6.767" Properties=species:S:1:pos:R:3 pbc="T T T"
Tb 0.002 1.123 2.249
Tb 0.001 0.002 5.646
Tb 2.522 3.380 1.121
Tb 2.521 2.258 4.517
Sm 2.515 -1.131 3.383
Ho 2.516 0.000 0.000
```

Results
Its energy above the most stable polymorph in this dataset is 0.000 eV per atom. As for the formation energy: 0.016 eV/atom. The total magnetization is 0.0 μB per formula unit.

# 2
The following is a PBE calculation of a geometry-optimized Ac2FeBPt6 structure, from the Alexandria database.

extended XYZ file:
```
10
Lattice="2.943 1.699 6.458 -2.943 1.699 6.458 0.000 -3.399 6.458" Properties=species:S:1:pos:R:3 pbc="T T T"
Ac 0.000 0.000 4.208
Ac 0.000 0.000 15.166
Fe 0.000 0.000 9.687
B 0.000 0.000 0.000
Pt 0.000 -1.632 7.673
Pt -1.413 0.816 7.673
Pt -1.413 -0.816 11.700
Pt 1.413 0.816 7.673
Pt 1.413 -0.816 11.700
Pt 0.000 1.632 11.700
```

Results
As for the formation energy: -0.741 eV/atom. The total magnetization is 3.7 μB per formula unit.

# 3
The following is a PBE calculation of a geometry-optimized Ta2Nb2Ir structure, from the Alexandria database.

extended XYZ file:
```
10
Lattice="7.248 0.000 0.000 0.000 9.402 0.000 -0.852 0.000 2.786" Properties=species:S:1:pos:R:3 pbc="T T T"
Ta 1.018 0.000 0.869
Ta 1.755 4.701 1.917
Ta 4.642 4.701 0.869
Ta 5.379 0.000 1.917
Nb -0.426 2.356 1.393
Nb -0.426 7.046 1.393
Nb 3.198 2.345 1.393
Nb 3.198 7.057 1.393
Ir 0.000 4.701 0.000
Ir 3.624 0.000 0.000
```

Results
As for the formation energy: 0.131 eV/atom. The total magnetization is 0.0 μB per formula unit.

# 4
The following is a PBE calculation of a geometry-optimized Ag3Bi2Pd8 structure, from the Alexandria database.

extended XYZ file:
```
13
Lattice="6.590 -3.844 0.000 6.590 3.844 0.000 -0.873 0.000 4.723" Properties=species:S:1:pos:R:3 pbc="T T T"
Ag 0.000 0.000 0.000
Ag 6.153 2.395 2.361
Ag 6.153 -2.395 2.361
Bi 4.341 0.000 0.849
Bi 7.965 0.000 3.874
Pd 3.540 2.251 3.697
Pd 1.787 0.000 3.304
Pd 8.767 2.251 1.026
Pd 5.175 0.000 3.427
Pd 7.131 0.000 1.296
Pd 3.540 -2.251 3.697
Pd 10.520 0.000 1.419
Pd 8.767 -2.251 1.026
```

Results
As for the formation energy: -0.051 eV/atom. The total magnetization is 0.0 μB per formula unit.

# 5
The following is a PBE calculation of a geometry-optimized BaReTe2 structure, from the Alexandria database.

extended XYZ file:
```
4
Lattice="3.471 0.000 0.000 0.000 3.471 0.000 0.000 0.000 8.422" Properties=species:S:1:pos:R:3 pbc="T T T"
Ba 0.000 0.000 0.000
Re 0.000 0.000 4.211
Te 1.735 1.735 2.607
Te 1.735 1.735 5.815
```

Results
The value obtained for the uncorrected formation energy is 0.2088 eV/atom. Its energy above the most stable polymorph in this dataset is 0.484 eV per atom. The total magnetization is 0.0 μB per formula unit.

# 6
The following is a PBE calculation of a geometry-optimized Sm3Si2Pd2 structure, from the Alexandria database.

extended XYZ file:
```
28
Lattice="5.746 0.000 0.000 0.000 8.022 0.000 0.000 0.000 13.178" Properties=species:S:1:pos:R:3 pbc="T T T"
Sm 0.724 0.824 1.382
Sm 0.724 0.824 5.207
Sm 0.724 3.187 7.971
Sm 0.724 3.187 11.797
Sm 2.075 5.951 3.295
Sm 2.075 6.082 9.884
Sm 3.671 1.940 3.295
Sm 3.671 2.071 9.884
Sm 5.022 4.835 1.382
Sm 5.022 4.835 5.207
Sm 5.022 7.198 7.971
Sm 5.022 7.198 11.797
Si 0.873 0.873 9.884
Si 0.873 3.138 3.295
Si 1.877 6.016 0.000
Si 1.877 6.016 6.589
Si 3.869 2.005 0.000
Si 3.869 2.005 6.589
Si 4.873 4.884 9.884
Si 4.873 7.149 3.295
Pd 2.203 0.374 7.784
Pd 2.203 0.374 11.983
Pd 2.203 3.637 1.195
Pd 2.203 3.637 5.394
Pd 3.543 4.385 7.784
Pd 3.543 4.385 11.983
Pd 3.543 7.648 1.195
Pd 3.543 7.648 5.394
```

Results
The value obtained for the uncorrected formation energy is -0.8430 eV/atom. The total magnetization is 0.0 μB per formula unit.

# 7
The following is a PBE calculation of a geometry-optimized TiCd3F structure, from the Alexandria database.

extended XYZ file:
```
5
Lattice="5.567 0.000 0.000 0.000 5.567 0.000 0.000 0.000 5.567" Properties=species:S:1:pos:R:3 pbc="T T T"
Ti 0.000 0.000 0.000
Cd 0.000 0.000 2.784
Cd 0.000 2.784 0.000
Cd 2.784 0.000 0.000
F 2.784 2.784 2.784
```

Results
The value obtained for the uncorrected formation energy is 0.4053 eV/atom. Its energy above the most stable polymorph in this dataset is 0.548 eV per atom. The total magnetization is 2.8 μB per formula unit.

# 8
The following is a PBE calculation of a geometry-optimized TaV3Ge structure, from the Alexandria database.

extended XYZ file:
```
5
Lattice="4.601 0.000 0.000 0.000 4.601 0.000 0.000 0.000 4.601" Properties=species:S:1:pos:R:3 pbc="T T T"
Ta 0.000 0.000 0.000
V 0.000 0.000 2.300
V 0.000 2.300 0.000
V 2.300 0.000 0.000
Ge 2.300 2.300 2.300
```

Results
Its energy above the most stable polymorph in this dataset is 1.593 eV per atom. As for the formation energy: 1.474 eV/atom. The total magnetization is 0.0 μB per formula unit.

| no. | density of states at the Fermi level (states/eV per cell) |
| --- | --- |
| 1 | 7.9 |
| 2 | 4.8 |
| 3 | 9.4 |
| 4 | 6.2 |
| 5 | 4.5 |
| 6 | 20.1 |
| 7 | 7.7 |
| 8 | 6.4 |